No. 1
Here is a relaxed structure of Co2SiRh from Alexandria via LeMat-Bulk. Energies are from PBE.

Unit cell a=2.7981 b=4.1420 c=8.2519 alpha=90.00 beta=90.00 gamma=90.00
Fractional coordinates of all 8 atoms:
Co 0.0000 0.0000 0.0000
Co 0.0000 0.5000 0.2323
Co 0.5000 0.0000 0.7323
Co 0.5000 0.5000 0.5000
Si 0.0000 0.0000 0.5143
Si 0.5000 0.5000 0.0143
Rh 0.0000 0.5000 0.7798
Rh 0.5000 0.0000 0.2798

Properties
As for the raw formation energy: -0.26 eV per atom. Its calculated total energy is -7.004 eV/atom.

=====

No. 2
Here is a relaxed structure of Nd3TeS6 from Alexandria via LeMat-Bulk. Energies are from PBE.

Unit cell a=8.7904 b=8.7904 c=6.8757 alpha=90.00 beta=90.00 gamma=103.03
Fractional coordinates of all 20 atoms:
Nd 0.0931 0.9069 0.5000
Nd 0.2081 0.4140 0.3937
Nd 0.4140 0.2081 0.8937
Nd 0.5860 0.7919 0.3937
Nd 0.7919 0.5860 0.8937
Nd 0.9069 0.0931 0.0000
Te 0.3380 0.6620 0.9173
Te 0.6620 0.3380 0.4173
S 0.0777 0.6058 0.6888
S 0.1328 0.1955 0.6983
S 0.1955 0.1328 0.1983
S 0.2670 0.7330 0.2508
S 0.3942 0.9223 0.6888
S 0.4905 0.5095 0.6471
S 0.5095 0.4905 0.1471
S 0.6058 0.0777 0.1888
S 0.7330 0.2670 0.7508
S 0.8045 0.8672 0.6983
S 0.8672 0.8045 0.1983
S 0.9223 0.3942 0.1888

Properties
As for the raw formation energy: -1.45 eV per atom. Its calculated total energy is -5.668 eV/atom.

=====

No. 3
Here is a relaxed structure of CaMgBe from Alexandria via LeMat-Bulk. Energies are from PBE.

Unit cell a=13.7393 b=3.8559 c=5.5693 alpha=90.00 beta=101.39 gamma=90.00
Fractional coordinates of all 12 atoms:
Ca 0.0000 0.0000 0.0000
Ca 0.2469 0.5000 0.1079
Ca 0.5000 0.5000 0.0000
Ca 0.7469 0.0000 0.1079
Mg 0.0868 0.5000 0.5383
Mg 0.3082 0.0000 0.6378
Mg 0.5868 0.0000 0.5383
Mg 0.8082 0.5000 0.6378
Be 0.4084 0.0000 0.2924
Be 0.4261 0.5000 0.4541
Be 0.9084 0.5000 0.2924
Be 0.9261 0.0000 0.4541

Properties
The relative energy among the computed polymorphs is 1.544 kcal/mol of atoms. Its calculated total energy is -2.263 eV/atom. For the formation energy, the calculation gives 0.1780 eV/atom.

=====

No. 4
Here is a relaxed structure of YSc2Se from Alexandria via LeMat-Bulk. Energies are from PBE.

Unit cell a=6.0162 b=9.1304 c=3.5348 alpha=90.00 beta=90.00 gamma=90.00
Fractional coordinates of all 8 atoms:
Y 0.0000 0.0000 0.0000
Y 0.5000 0.5000 0.0000
Sc 0.2500 0.2500 0.5000
Sc 0.2500 0.7500 0.5000
Sc 0.7500 0.2500 0.5000
Sc 0.7500 0.7500 0.5000
Se 0.0000 0.5000 0.0000
Se 0.5000 0.0000 0.0000

Properties
As for the raw formation energy: -0.34 eV per atom. Its calculated total energy is -5.996 eV/atom.

=====

No. 5
Here is a relaxed structure of Tb7Dy2Y2 from Alexandria via LeMat-Bulk. Energies are from PBE.

Unit cell a=11.1090 b=11.1090 c=3.6369 alpha=90.00 beta=90.00 gamma=125.81
Fractional coordinates of all 11 atoms:
Tb 0.0000 0.0000 0.0000
Tb 0.0396 0.3604 0.0000
Tb 0.3604 0.0396 0.0000
Tb 0.4159 0.5841 0.0000
Tb 0.5841 0.4159 0.0000
Tb 0.6396 0.9604 0.0000
Tb 0.9604 0.6396 0.0000
Dy 0.2729 0.2729 0.5000
Dy 0.7271 0.7271 0.5000
Y 0.2759 0.7241 0.5000
Y 0.7241 0.2759 0.5000

Properties
The relative energy among the computed polymorphs is 0.000 kcal/mol of atoms. Its calculated total energy is -4.825 eV/atom. For the formation energy, the calculation gives 0.1338 eV/atom.

=====

No. 6
Here is a relaxed structure of UTe3Pt from Alexandria via LeMat-Bulk. Energies are from PBE.

Unit cell a=7.8278 b=7.8278 c=7.8278 alpha=89.86 beta=126.49 gamma=114.07
Fractional coordinates of all 10 atoms:
U 0.1598 0.2500 0.4098
U 0.8402 0.7500 0.5902
Te 0.0703 0.2012 0.7511
Te 0.0703 0.8192 0.3690
Te 0.4502 0.3192 0.2489
Te 0.4502 0.7012 0.6310
Te 0.5610 0.8705 0.1906
Te 0.6799 0.3705 0.8094
Pt 0.0896 0.6537 0.9359
Pt 0.7178 0.1537 0.0641

Properties
As for the raw formation energy: -0.23 eV per atom. Its calculated total energy is -5.579 eV/atom.

=====

No. 7
Here is a relaxed structure of ZnCu2Au2 from Alexandria via LeMat-Bulk. Energies are from PBE.

Unit cell a=8.5218 b=3.9997 c=6.0329 alpha=90.00 beta=133.08 gamma=90.00
Fractional coordinates of all 10 atoms:
Zn 0.0000 0.0000 0.0000
Zn 0.5000 0.5000 0.0000
Cu 0.1895 0.0000 0.5834
Cu 0.3105 0.5000 0.4166
Cu 0.6895 0.5000 0.5834
Cu 0.8105 0.0000 0.4166
Au 0.0881 0.5000 0.8011
Au 0.4119 0.0000 0.1989
Au 0.5881 0.0000 0.8011
Au 0.9119 0.5000 0.1989

Properties
The relative energy among the computed polymorphs is 0.000 kcal/mol of atoms. Its calculated total energy is -3.303 eV/atom. For the formation energy, the calculation gives -0.0984 eV/atom.

=====

No. 8
Here is a relaxed structure of KNa3Ag8 from Alexandria via LeMat-Bulk. Energies are from PBE.

Unit cell a=10.0115 b=10.0115 c=10.0115 alpha=33.16 beta=33.16 gamma=33.16
Fractional coordinates of all 12 atoms:
K 0.0000 0.0000 0.0000
Na 0.3777 0.3777 0.3777
Na 0.5002 0.5002 0.5002
Na 0.8732 0.8732 0.8732
Ag 0.1874 0.1874 0.1874
Ag 0.4362 0.4362 0.9340
Ag 0.4362 0.9340 0.4362
Ag 0.4413 0.9380 0.9380
Ag 0.6877 0.6877 0.6877
Ag 0.9340 0.4362 0.4362
Ag 0.9380 0.4413 0.9380
Ag 0.9380 0.9380 0.4413

Properties
The relative energy among the computed polymorphs is 0.000 kcal/mol of atoms. Its calculated total energy is -2.387 eV/atom. For the formation energy, the calculation gives -0.0647 eV/atom.

=====

No. 9
Here is a relaxed structure of SrYSb2Te from Alexandria via LeMat-Bulk. Energies are from PBE.

Unit cell a=5.7767 b=5.7767 c=5.8570 alpha=90.00 beta=90.00 gamma=90.00
Fractional coordinates of all 5 atoms:
Sr 0.0000 0.0000 0.0000
Y 0.5000 0.5000 0.5000
Sb 0.0000 0.5000 0.5000
Sb 0.5000 0.0000 0.5000
Te 0.5000 0.5000 0.0000

Properties
As for the raw formation energy: -0.49 eV per atom. The relative energy among the computed polymorphs is 0.000 kcal/mol of atoms. Its calculated total energy is -4.398 eV/atom.

=====

No. 10
Here is a relaxed structure of KNaMn2Cl8 from Alexandria via LeMat-Bulk. Energies are from PBE.

Unit cell a=6.7488 b=6.7488 c=9.2593 alpha=90.00 beta=90.00 gamma=120.00
Fractional coordinates of all 12 atoms:
K 0.0000 0.0000 0.0000
Na 0.0000 0.0000 0.5000
Mn 0.3333 0.6667 0.7582
Mn 0.6667 0.3333 0.2418
Cl 0.0256 0.3336 0.6980
Cl 0.3079 0.9744 0.6980
Cl 0.3333 0.6667 0.9940
Cl 0.3336 0.3079 0.3020
Cl 0.6664 0.6921 0.6980
Cl 0.6667 0.3333 0.0060
Cl 0.6921 0.0256 0.3020
Cl 0.9744 0.6664 0.3020

Properties
As for the raw formation energy: -1.19 eV per atom. Its calculated total energy is -4.155 eV/atom.

=====

No. 11
Here is a relaxed structure of ThInNi17 from Alexandria via LeMat-Bulk. Energies are from PBE.

Unit cell a=6.2479 b=6.2479 c=6.2479 alpha=82.89 beta=82.89 gamma=82.89
Fractional coordinates of all 19 atoms:
Th 0.0000 0.0000 0.0000
In 0.6826 0.6826 0.6826
Ni 0.0456 0.3420 0.6344
Ni 0.0456 0.6344 0.3420
Ni 0.1974 0.6839 0.6839
Ni 0.2445 0.2445 0.2445
Ni 0.3368 0.3368 0.8464
Ni 0.3368 0.8464 0.3368
Ni 0.3420 0.0456 0.6344
Ni 0.3420 0.6344 0.0456
Ni 0.4442 0.4442 0.4442
Ni 0.5028 0.9889 0.9889
Ni 0.6344 0.0456 0.3420
Ni 0.6344 0.3420 0.0456
Ni 0.6839 0.1974 0.6839
Ni 0.6839 0.6839 0.1974
Ni 0.8464 0.3368 0.3368
Ni 0.9889 0.5028 0.9889
Ni 0.9889 0.9889 0.5028

Properties
Its calculated total energy is -5.800 eV/atom. For the formation energy, the calculation gives -0.0930 eV/atom.

=====

No. 12
Here is a relaxed structure of LiEuCdBi from Alexandria via LeMat-Bulk. Energies are from PBE.

Unit cell a=7.6026 b=7.6026 c=7.6026 alpha=90.00 beta=90.00 gamma=90.00
Fractional coordinates of all 16 atoms:
Li 0.0000 0.0000 0.0000
Li 0.0000 0.5000 0.5000
Li 0.5000 0.0000 0.5000
Li 0.5000 0.5000 0.0000
Eu 0.0000 0.0000 0.5000
Eu 0.0000 0.5000 0.0000
Eu 0.5000 0.0000 0.0000
Eu 0.5000 0.5000 0.5000
Cd 0.2500 0.2500 0.2500
Cd 0.2500 0.7500 0.7500
Cd 0.7500 0.2500 0.7500
Cd 0.7500 0.7500 0.2500
Bi 0.2500 0.2500 0.7500
Bi 0.2500 0.7500 0.2500
Bi 0.7500 0.2500 0.2500
Bi 0.7500 0.7500 0.7500

Properties
Its calculated total energy is -4.751 eV/atom. For the formation energy, the calculation gives -0.5052 eV/atom.

=====

- Among the records above, which one has the highest calculated total energy?
  CaMgBe

=====

Repeat the fifth record exactly.
Here is a relaxed structure of Tb7Dy2Y2 from Alexandria via LeMat-Bulk. Energies are from PBE.

Unit cell a=11.1090 b=11.1090 c=3.6369 alpha=90.00 beta=90.00 gamma=125.81
Fractional coordinates of all 11 atoms:
Tb 0.0000 0.0000 0.0000
Tb 0.0396 0.3604 0.0000
Tb 0.3604 0.0396 0.0000
Tb 0.4159 0.5841 0.0000
Tb 0.5841 0.4159 0.0000
Tb 0.6396 0.9604 0.0000
Tb 0.9604 0.6396 0.0000
Dy 0.2729 0.2729 0.5000
Dy 0.7271 0.7271 0.5000
Y 0.2759 0.7241 0.5000
Y 0.7241 0.2759 0.5000

Properties
The relative energy among the computed polymorphs is 0.000 kcal/mol of atoms. Its calculated total energy is -4.825 eV/atom. For the formation energy, the calculation gives 0.1338 eV/atom.

=====

- The lowest calculated total energy belongs to which entry?
  Co2SiRh

=====

Copy entry 11 word for word.
Here is a relaxed structure of ThInNi17 from Alexandria via LeMat-Bulk. Energies are from PBE.

Unit cell a=6.2479 b=6.2479 c=6.2479 alpha=82.89 beta=82.89 gamma=82.89
Fractional coordinates of all 19 atoms:
Th 0.0000 0.0000 0.0000
In 0.6826 0.6826 0.6826
Ni 0.0456 0.3420 0.6344
Ni 0.0456 0.6344 0.3420
Ni 0.1974 0.6839 0.6839
Ni 0.2445 0.2445 0.2445
Ni 0.3368 0.3368 0.8464
Ni 0.3368 0.8464 0.3368
Ni 0.3420 0.0456 0.6344
Ni 0.3420 0.6344 0.0456
Ni 0.4442 0.4442 0.4442
Ni 0.5028 0.9889 0.9889
Ni 0.6344 0.0456 0.3420
Ni 0.6344 0.3420 0.0456
Ni 0.6839 0.1974 0.6839
Ni 0.6839 0.6839 0.1974
Ni 0.8464 0.3368 0.3368
Ni 0.9889 0.5028 0.9889
Ni 0.9889 0.9889 0.5028

Properties
Its calculated total energy is -5.800 eV/atom. For the formation energy, the calculation gives -0.0930 eV/atom.